[1]
# CsCo2Cl6

A geometry-optimized CsCo2Cl6 structure (GGA-PBE, Alexandria via LeMat-Bulk).

abc: 7.143 10.018 10.018
angles: 88.14 70.96 70.96
Last column: magnetic moment on the atom in μB.
Positions (direct):
Cl 0.974 0.397 0.348  0.21
Cl 0.736 0.934 0.550  0.21
Cl 0.026 0.603 0.652  0.21
Cl 0.024 0.909 0.826  0.20
Cl 0.976 0.091 0.174  0.20
Cl 0.474 0.348 0.397  0.21
Cl 0.476 0.174 0.091  0.20
Cl 0.524 0.826 0.909  0.20
Cl 0.264 0.066 0.450  0.21
Cl 0.236 0.550 0.934  0.21
Cl 0.764 0.450 0.066  0.21
Cl 0.526 0.652 0.603  0.21
Co 0.796 0.314 0.235  2.57
Co 0.704 0.765 0.686  2.57
Co 0.296 0.235 0.314  2.57
Co 0.204 0.686 0.765  2.57
Cs 0.750 0.813 0.187  0.00
Cs 0.250 0.187 0.813  0.00

Uncorrected formation energy in eV/f.u.: -8.1
Size of the total moment in μB per cell: 14.000
Space group: C2/c (15)
DFT total energy in eV/f.u.: -34.20

[2]
# DyAgPd

A geometry-optimized DyAgPd structure (GGA-PBE, Alexandria via LeMat-Bulk).

abc: 3.384 4.650 4.650
angles: 120.00 90.00 90.00
Positions (direct):
Ag 0.167 0.000 0.000
Pd 0.166 0.333 0.667
Dy 0.667 0.667 0.333

Size of the total moment in μB per cell: 0.000
Space group: P3m1 (156)
DFT total energy in eV/f.u.: -14.15

[3]
# La3Si2AsPt9

A geometry-optimized La3Si2AsPt9 structure (GGA-PBE, Alexandria via LeMat-Bulk).

abc: 6.580 6.580 8.480
angles: 90.00 90.00 120.00
Positions (direct):
Pt 0.500 0.000 0.000
Pt 0.000 0.500 0.000
Pt 0.708 0.854 0.285
Pt 0.292 0.146 0.715
Pt 0.500 0.500 0.000
Pt 0.146 0.854 0.285
Pt 0.146 0.292 0.285
Pt 0.854 0.146 0.715
Pt 0.854 0.708 0.715
Si 0.333 0.667 0.185
Si 0.667 0.333 0.815
La 0.000 0.000 0.000
La 0.667 0.333 0.313
La 0.333 0.667 0.687
As 0.000 0.000 0.500

Uncorrected formation energy in eV/f.u.: -11.8
Size of the total moment in μB per cell: 0.000
Space group: P-3m1 (164)
DFT total energy in eV/f.u.: -96.40

[4]
# TeMoSN2

A geometry-optimized TeMoSN2 structure (GGA-PBE, Alexandria via LeMat-Bulk).

abc: 3.963 3.963 5.311
angles: 90.00 90.00 90.00
Last column: magnetic moment on the atom in μB.
Positions (direct):
N 0.500 0.000 0.000  -0.15
N 0.000 0.500 0.000  -0.15
S 0.000 0.000 0.500  -0.07
Mo 0.500 0.500 0.500  3.28
Te 0.000 0.000 0.000  0.06

Uncorrected formation energy in eV/f.u.: 8.3
Size of the total moment in μB per cell: 3.417
Space group: P4/mmm (123)
DFT total energy in eV/f.u.: -26.46

[5]
# Pu2PaGa4

A geometry-optimized Pu2PaGa4 structure (GGA-PBE, Alexandria via LeMat-Bulk).

abc: 5.386 5.386 8.367
angles: 108.78 108.78 90.00
Last column: magnetic moment on the atom in μB.
Positions (direct):
Ga 0.194 0.194 0.387  0.05
Ga 0.000 0.500 0.000  -0.01
Ga 0.500 0.000 0.000  -0.01
Ga 0.806 0.806 0.613  0.05
Pu 0.605 0.605 0.211  5.48
Pu 0.395 0.395 0.789  5.48
Pa 0.000 0.000 0.000  -0.20

Size of the total moment in μB per cell: 11.591
Space group: I4/mmm (139)
DFT total energy in eV/f.u.: -46.92

[6]
# K2Rb6CdO

A geometry-optimized K2Rb6CdO structure (GGA-PBE, Alexandria via LeMat-Bulk).

abc: 9.587 9.585 9.700
angles: 120.67 120.68 89.70
Positions (direct):
Rb 0.790 0.210 0.000
Rb 0.787 0.788 0.994
Rb 0.210 0.790 0.000
Rb 0.214 0.214 0.420
Rb 0.213 0.213 0.005
Rb 0.786 0.786 0.580
O 0.000 0.000 0.000
K 0.757 0.243 0.499
K 0.242 0.758 0.500
Cd 0.500 0.501 0.001

Uncorrected formation energy in eV/f.u.: -2.5
Size of the total moment in μB per cell: 0.005
Space group: Cm (8)
DFT total energy in eV/f.u.: -16.41

[7]
# RbMgNb

A geometry-optimized RbMgNb structure (GGA-PBE, Alexandria via LeMat-Bulk).

abc: 5.707 5.707 8.345
angles: 90.00 90.00 120.00
Positions (direct):
Rb 0.667 0.333 0.000
Rb 0.667 0.333 0.500
Mg 0.333 0.667 0.677
Mg 0.333 0.667 0.323
Nb 0.000 0.000 0.630
Nb 0.000 0.000 0.370

Size of the total moment in μB per cell: 0.000
Space group: P-6m2 (187)
DFT total energy in eV/f.u.: -9.48

[8]
# Nb2HgB

A geometry-optimized Nb2HgB structure (GGA-PBE, Alexandria via LeMat-Bulk).

abc: 2.847 3.115 7.431
angles: 87.04 83.46 81.30
Positions (direct):
B 0.000 0.000 0.000
Hg 0.000 0.000 0.500
Nb 0.389 0.476 0.815
Nb 0.611 0.524 0.185

Size of the total moment in μB per cell: 0.000
Space group: P-1 (2)
DFT total energy in eV/f.u.: -27.01